A relaxed BaSc2Pt crystal, computed with GGA-PBE.

Properties
- Formation energy: -115 meV per atom
- Size of the total moment: 0.000 μB per atom

a b c (Å): 7.165 7.165 7.165
angles (deg): 90.00 90.00 90.00
Space group Fm-3m (No. 225)
Unique sites:
Ba1 0.000 0.000 0.000 x4
Sc1 0.250 0.250 0.250 x8
Pt1 0.000 0.000 0.500 x4


A relaxed BaScPt2 crystal, computed with GGA-PBE.

Properties
- Formation energy: -400 meV per atom
- Size of the total moment: 0.000 μB per atom

a b c (Å): 4.250 4.250 10.052
angles (deg): 90.00 90.00 90.00
Space group I-4m2 (No. 119)
Unique sites:
Ba1 0.000 0.000 0.000 x2
Sc1 0.000 0.500 0.250 x2
Pt1 0.000 0.000 0.500 x2
Pt2 0.000 0.500 0.750 x2


A relaxed BaSc2Pt2 crystal, computed with GGA-PBE.

Properties
- Formation energy: -755 meV per atom
- Size of the total moment: 0.000 μB per atom

a b c (Å): 8.402 8.402 3.091
angles (deg): 90.00 90.00 90.00
Space group P4/mbm (No. 127)
Unique sites:
Ba1 0.000 0.000 0.000 x2
Sc1 0.133 0.367 0.000 x4
Pt1 0.154 0.654 0.500 x4


A relaxed BaScPt2 crystal, computed with GGA-PBE.

Properties
- Formation energy: -298 meV per atom
- Size of the total moment: 0.000 μB per atom

a b c (Å): 6.974 6.974 6.974
angles (deg): 90.00 90.00 90.00
Space group F-43m (No. 216)
Unique sites:
Ba1 0.000 0.000 0.000 x4
Sc1 0.250 0.250 0.750 x4
Pt1 0.000 0.000 0.500 x4
Pt2 0.250 0.250 0.250 x4


A relaxed BaScPt crystal, computed with GGA-PBE.

Properties
- Formation energy: -590 meV per atom
- Size of the total moment: 0.000 μB per atom

a b c (Å): 3.619 3.619 12.953
angles (deg): 90.00 90.00 90.00
Space group I4mm (No. 107)
Unique sites:
Ba1 0.000 0.000 0.000 x2
Sc1 0.000 0.000 0.738 x2
Pt1 0.000 0.000 0.316 x2


A relaxed BaScPt crystal, computed with GGA-PBE.

Properties
- Formation energy: -800 meV per atom
- Size of the total moment: 0.000 μB per atom

a b c (Å): 4.509 4.509 9.556
angles (deg): 90.00 90.00 90.00
Space group P4/nmm (No. 129, origin choice 2)
Unique sites:
Ba1 0.250 0.250 0.177 x2
Sc1 0.250 0.750 0.500 x2
Pt1 0.250 0.250 0.659 x2


A relaxed BaSc2Pt2 crystal, computed with GGA-PBE.

Properties
- Formation energy: -708 meV per atom
- Size of the total moment: 0.000 μB per atom

a b c (Å): 8.207 8.207 3.458
angles (deg): 90.00 90.00 90.00
Space group P4/mbm (No. 127)
Unique sites:
Ba1 0.000 0.000 0.000 x2
Sc1 0.135 0.365 0.500 x4
Pt1 0.137 0.637 0.000 x4


A relaxed Ba2ScPt crystal, computed with GGA-PBE.

Properties
- Formation energy: 46 meV per atom
- Size of the total moment: 0.000 μB per atom

a b c (Å): 5.472 5.472 4.273
angles (deg): 90.00 90.00 90.00
Space group P4/mmm (No. 123)
Unique sites:
Ba1 0.000 0.500 0.000 x2
Sc1 0.000 0.000 0.500 x1
Pt1 0.500 0.500 0.500 x1


A relaxed BaSc2Pt crystal, computed with GGA-PBE.

Properties
- Formation energy: 22 meV per atom
- Size of the total moment: 0.000 μB per atom

a b c (Å): 7.027 7.053 3.836
angles (deg): 90.00 90.00 90.00
Space group Cmmm (No. 65)
Unique sites:
Ba1 0.000 0.000 0.000 x2
Sc1 0.250 0.250 0.500 x4
Pt1 0.000 0.500 0.000 x2


A relaxed BaScPt2 crystal, computed with GGA-PBE.

Properties
- Formation energy: -785 meV per atom
- Size of the total moment: 0.000 μB per atom

a b c (Å): 7.578 4.379 6.995
angles (deg): 90.00 111.23 90.00
Space group Cm (No. 8)
Unique sites:
Ba1 0.000 0.000 0.000 x2
Sc1 0.179 0.000 0.540 x2
Pt1 0.056 0.500 0.670 x2
Pt2 0.297 0.500 0.394 x2


A relaxed Ba2ScPt crystal, computed with GGA-PBE.

Properties
- Formation energy: -389 meV per atom
- Size of the total moment: 0.000 μB per atom

a b c (Å): 3.735 3.735 9.937
angles (deg): 90.00 90.00 90.00
Space group P4mm (No. 99)
Unique sites:
Ba1 0.000 0.000 0.000 x1
Ba2 0.500 0.500 0.384 x1
Sc1 0.500 0.500 0.714 x1
Pt1 0.000 0.000 0.624 x1


A relaxed BaSc2Pt crystal, computed with GGA-PBE.

Properties
- Formation energy: 25 meV per atom
- Size of the total moment: 0.000 μB per atom

a b c (Å): 4.382 4.382 10.155
angles (deg): 90.00 90.00 90.00
Space group I-4m2 (No. 119)
Unique sites:
Ba1 0.000 0.000 0.000 x2
Sc1 0.000 0.000 0.500 x2
Sc2 0.000 0.500 0.250 x2
Pt1 0.000 0.500 0.750 x2


A relaxed BaScPt2 crystal, computed with GGA-PBE.

Properties
- Formation energy: -564 meV per atom
- Size of the total moment: 0.000 μB per atom

a b c (Å): 7.708 7.708 7.326
angles (deg): 90.00 90.00 90.00
Space group I-42d (No. 122)
Unique sites:
Ba1 0.000 0.000 0.000 x4
Sc1 0.000 0.000 0.500 x4
Pt1 0.187 0.750 0.625 x8


A relaxed BaSc2Pt crystal, computed with GGA-PBE.

Properties
- Formation energy: 87 meV per atom
- Size of the total moment: 0.000 μB per atom

a b c (Å): 6.371 10.946 3.344
angles (deg): 90.00 119.86 90.00
Space group C2/m (No. 12)
Unique sites:
Ba1 0.000 0.000 0.000 x2
Sc1 0.250 0.250 0.500 x4
Pt1 0.000 0.500 0.000 x2


A relaxed BaScPt2 crystal, computed with GGA-PBE.

Properties
- Formation energy: -907 meV per atom
- Size of the total moment: 0.000 μB per atom

a b c (Å): 7.860 4.542 6.419
angles (deg): 90.00 114.16 90.00
Space group C2/m (No. 12)
Unique sites:
Ba1 0.000 0.000 0.000 x2
Sc1 0.000 0.500 0.500 x2
Pt1 0.207 0.000 0.622 x4


A relaxed BaSc2Pt crystal, computed with GGA-PBE.

Properties
- Formation energy: -345 meV per atom
- Size of the total moment: 0.000 μB per atom

a b c (Å): 3.474 5.736 11.205
angles (deg): 90.00 90.00 90.00
Space group Immm (No. 71)
Unique sites:
Ba1 0.000 0.000 0.000 x2
Sc1 0.000 0.500 0.189 x4
Pt1 0.000 0.000 0.500 x2


A relaxed BaSc2Pt crystal, computed with GGA-PBE.

Properties
- Formation energy: -39 meV per atom
- Size of the total moment: 0.241 μB per atom

a b c (Å): 4.448 4.448 5.158
angles (deg): 90.00 90.00 90.00
Space group P4/mmm (No. 123)
Unique sites:
Ba1 0.000 0.000 0.000 x1
Sc1 0.000 0.500 0.500 x2
Pt1 0.500 0.500 0.000 x1


A relaxed Ba2ScPt crystal, computed with GGA-PBE.

Properties
- Formation energy: 163 meV per atom
- Size of the total moment: 0.004 μB per atom

a b c (Å): 8.020 8.020 8.020
angles (deg): 90.00 90.00 90.00
Space group Fm-3m (No. 225)
Unique sites:
Ba1 0.250 0.250 0.250 x8
Sc1 0.000 0.000 0.000 x4
Pt1 0.000 0.000 0.500 x4


A relaxed BaSc2Pt crystal, computed with GGA-PBE.

Properties
- Formation energy: -439 meV per atom
- Size of the total moment: 0.000 μB per atom

a b c (Å): 3.426 3.482 9.080
angles (deg): 90.00 90.05 90.00
Space group P2/m (No. 10)
Unique sites:
Ba1 0.000 0.000 0.000 x1
Sc1 0.500 0.500 0.338 x2
Pt1 0.000 0.000 0.500 x1


A relaxed Ba2ScPt crystal, computed with GGA-PBE.

Properties
- Formation energy: -341 meV per atom
- Size of the total moment: 0.000 μB per atom

a b c (Å): 3.875 6.037 12.216
angles (deg): 90.00 90.00 90.00
Space group Imm2 (No. 44)
Unique sites:
Ba1 0.000 0.000 0.000 x2
Ba2 0.000 0.500 0.186 x2
Sc1 0.000 0.000 0.361 x2
Pt1 0.000 0.500 0.721 x2


A relaxed Ba2ScPt crystal, computed with GGA-PBE.

Properties
- Formation energy: -328 meV per atom
- Size of the total moment: 0.000 μB per atom

a b c (Å): 4.052 5.518 13.264
angles (deg): 90.00 90.00 90.00
Space group Amm2 (No. 38)
Unique sites:
Ba1 0.000 0.000 0.000 x2
Ba2 0.500 0.000 0.302 x2
Sc1 0.500 0.000 0.625 x2
Pt1 0.000 0.000 0.748 x2


A relaxed BaSc2Pt crystal, computed with GGA-PBE.

Properties
- Formation energy: -447 meV per atom
- Size of the total moment: 0.000 μB per atom

a b c (Å): 4.2990 4.2990 22.9996
angles (deg): 90.00 90.00 120.00
Space group R-3m (No. 166, hexagonal axes)
Unique sites:
Ba1 0.0000 0.0000 0.0000 x3
Sc1 0.0000 0.0000 0.2115 x6
Pt1 0.0000 0.0000 0.5000 x3


A relaxed BaSc2Pt crystal, computed with GGA-PBE.

Properties
- Formation energy: -176 meV per atom
- Size of the total moment: 0.267 μB per atom

a b c (Å): 3.8787 3.8787 27.9470
angles (deg): 90.00 90.00 120.00
Space group R3m (No. 160, hexagonal axes)
Unique sites:
Ba1 0.0000 0.0000 0.0000 x3
Sc1 0.0000 0.0000 0.5382 x3
Sc2 0.0000 0.0000 0.7828 x3
Pt1 0.0000 0.0000 0.2534 x3


A relaxed Ba2ScPt crystal, computed with GGA-PBE.

Properties
- Formation energy: -365 meV per atom
- Size of the total moment: 0.000 μB per atom

a b c (Å): 3.684 4.149 19.094
angles (deg): 90.00 90.00 90.00
Space group Immm (No. 71)
Unique sites:
Ba1 0.000 0.000 0.152 x4
Sc1 0.000 0.500 0.000 x2
Pt1 0.000 0.500 0.500 x2


A relaxed Ba3ScPt crystal, computed with GGA-PBE.

Properties
- Formation energy: -45 meV per atom
- Size of the total moment: 0.000 μB per atom

a b c (Å): 6.190 6.190 6.190
angles (deg): 90.00 90.00 90.00
Space group Pm-3m (No. 221)
Unique sites:
Ba1 0.000 0.000 0.500 x3
Sc1 0.500 0.500 0.500 x1
Pt1 0.000 0.000 0.000 x1


A relaxed BaScPt4 crystal, computed with GGA-PBE.

Properties
- Formation energy: -692 meV per atom
- Size of the total moment: 0.000 μB per atom

a b c (Å): 7.806 7.806 7.806
angles (deg): 90.00 90.00 90.00
Space group F-43m (No. 216)
Unique sites:
Ba1 0.000 0.000 0.000 x4
Sc1 0.250 0.250 0.250 x4
Pt1 0.124 0.124 0.624 x16


A relaxed BaSc3Pt crystal, computed with GGA-PBE.

Properties
- Formation energy: 1294 meV per atom
- Size of the total moment: 0.000 μB per atom

a b c (Å): 5.123 5.123 5.123
angles (deg): 90.00 90.00 90.00
Space group Pm-3m (No. 221)
Unique sites:
Ba1 0.000 0.000 0.000 x1
Sc1 0.000 0.000 0.500 x3
Pt1 0.500 0.500 0.500 x1


A relaxed Ba2ScPt crystal, computed with GGA-PBE.

Properties
- Formation energy: -33 meV per atom
- Size of the total moment: 0.494 μB per atom

a b c (Å): 4.2546 4.2546 30.3769
angles (deg): 90.00 90.00 120.00
Space group R-3m (No. 166, hexagonal axes)
Unique sites:
Ba1 0.0000 0.0000 0.2295 x6
Sc1 0.0000 0.0000 0.0000 x3
Pt1 0.0000 0.0000 0.5000 x3


A relaxed BaScPt2 crystal, computed with GGA-PBE.

Properties
- Formation energy: -536 meV per atom
- Size of the total moment: 0.000 μB per atom

a b c (Å): 3.835 3.835 6.953
angles (deg): 90.00 90.00 90.00
Space group P4mm (No. 99)
Unique sites:
Ba1 0.000 0.000 0.000 x1
Sc1 0.500 0.500 0.581 x1
Pt1 0.000 0.000 0.497 x1
Pt2 0.500 0.500 0.224 x1